! ZrTaGa | the Alexandria database | PBE | relaxed; values from VASP
! - energy of formation from the pure elements (kJ/mol of formula units) = -41
! - total moment (μB per cell) = 0.00
! - excess energy over the best structure of this formula in the dataset (eV/f.u.) = 0.75
&SYSTEM
  ibrav = 0, nat = 12, ntyp = 3
/
ATOMIC_SPECIES
Zr 91.22 Zr.upf
Ta 180.95 Ta.upf
Ga 69.72 Ga.upf
CELL_PARAMETERS angstrom
-2.4916 2.0826 -1.1032
1.8816 -1.9250 -7.8839
-5.4066 -6.3329 0.2559
ATOMIC_POSITIONS crystal
Zr 0.5000 0.2661 0.4182
Zr 0.5000 0.7339 0.5818
Ta 0.5000 0.1239 0.8570
Ta 0.5000 0.8761 0.1430
Ga 0.0000 0.0746 0.6219
Ta 0.0000 0.1430 0.1239
Zr 0.0000 0.4182 0.7339
Ga 0.5000 0.3781 0.0746
Ga 0.0000 0.9254 0.3781
Zr 0.0000 0.5818 0.2661
Ta 0.0000 0.8570 0.8761
Ga 0.5000 0.6219 0.9254